A relaxed LaCe7 crystal, computed with GGA-PBE.

abc: 6.733 6.733 6.733
angles: 60.00 60.00 60.00
Sites, in units of the cell vectors:
Ce  0.500  0.500  0.500
Ce  0.000  0.500  0.000
Ce  0.500  0.000  0.500
Ce  0.000  0.000  0.500
La  0.000  0.000  0.000
Ce  0.500  0.500  0.000
Ce  0.500  0.000  0.000
Ce  0.000  0.500  0.500

* DFT total energy: -5.767 eV/atom
* M_tot: 0.00 μB/f.u.